Computed, not measured: a relaxed structure of BeTcSnB2 at the PBE level of DFT.

The total energy is -25.4 eV/cell.

The structure belongs to space group P4/mmm (No. 123); the cell edges are 3.7722, 3.7722 and 4.6046 Å and the angles 90.00°, 90.00° and 90.00°. The asymmetric unit holds Be at (0.0000, 0.0000, 0.0000), Tc at (0.0000, 0.0000, 0.5000), Sn at (0.5000, 0.5000, 0.5000) and B at (0.0000, 0.5000, 0.0000).

=====

Computed, not measured: a relaxed structure of NiAgTe at the PBE level of DFT.

For the excess energy over the best structure of this formula in the dataset, the calculation gives 168 meV/atom. The total energy is -11.4 eV/cell.

The structure belongs to space group P3m1 (No. 156); the cell edges are 4.2422, 4.2422 and 3.8771 Å and the angles 90.00°, 90.00° and 120.00°. The asymmetric unit holds Ni at (0.0000, 0.0000, 0.0000), Ag at (0.3333, 0.6667, 0.5093) and Te at (0.6667, 0.3333, 0.0083).

=====

Computed, not measured: a relaxed structure of BaLiPd at the PBE level of DFT.

For the excess energy over the best structure of this formula in the dataset, the calculation gives 168 meV/atom. The total energy is -19.4 eV/cell.

The structure belongs to space group I4mm (No. 107); the cell edges are 3.7373, 3.7373 and 10.9982 Å and the angles 90.00°, 90.00° and 90.00°. The asymmetric unit holds Ba at (0.0000, 0.0000, 0.0000), Li at (0.0000, 0.0000, 0.7285) and Pd at (0.0000, 0.0000, 0.3037).